[1]
# Ba3PdPb PBE-GGA relaxed
data_Ba3PdPb
_chemical_formula_sum 'Ba12 Pd4 Pb4'
_cell_length_a 11.6098
_cell_length_b 16.7715
_cell_length_c 4.4401
_cell_angle_alpha 90.00
_cell_angle_beta 90.00
_cell_angle_gamma 90.00
_space_group_name_H-M_alt 'C m m m'
_space_group_IT_number 65
_space_group_name_Hall '-C 2 2'
loop_
_atom_site_label
_atom_site_type_symbol
_atom_site_fract_x
_atom_site_fract_y
_atom_site_fract_z
Ba1 Ba 0.0000 0.1738 0.0000
Ba2 Ba 0.1962 0.3831 0.5000
Pd1 Pd 0.2500 0.2500 0.0000
Pb1 Pb 0.0000 0.0000 0.5000
Pb2 Pb 0.0000 0.5000 0.0000
# volume = 43.227 Å³/atom
# crystal system = orthorhombic
# energy relative to the elements = -0.45 eV per atom
# energy above the most stable polymorph in this dataset = 0 meV per atom
# VASP energy = -3.38 eV per atom

=====

[2]
# BaPd5Pb2 PBE-GGA relaxed
data_BaPd5Pb2
_chemical_formula_sum 'Ba2 Pd10 Pb4'
_cell_length_a 4.2510
_cell_length_b 7.2984
_cell_length_c 11.4855
_cell_angle_alpha 90.00
_cell_angle_beta 90.00
_cell_angle_gamma 90.00
_space_group_name_H-M_alt 'I m m m'
_space_group_IT_number 71
_space_group_name_Hall '-I 2 2'
loop_
_atom_site_label
_atom_site_type_symbol
_atom_site_fract_x
_atom_site_fract_y
_atom_site_fract_z
Ba1 Ba 0.0000 0.0000 0.0000
Pd1 Pd 0.0000 0.1899 0.3764
Pd2 Pd 0.0000 0.5000 0.0000
Pb1 Pb 0.0000 0.5000 0.2408
# volume = 22.272 Å³/atom
# crystal system = orthorhombic
# energy relative to the elements = -0.33 eV per atom
# VASP energy = -4.74 eV per atom

=====

[3]
# Ba2Pd6Pb3 PBE-GGA relaxed
data_Ba2Pd6Pb3
_chemical_formula_sum 'Ba2 Pd6 Pb3'
_cell_length_a 7.8446
_cell_length_b 7.8446
_cell_length_c 4.9663
_cell_angle_alpha 90.00
_cell_angle_beta 90.00
_cell_angle_gamma 120.00
_space_group_name_H-M_alt 'P -6 2 m'
_space_group_IT_number 189
_space_group_name_Hall 'P -6 -2'
loop_
_atom_site_label
_atom_site_type_symbol
_atom_site_fract_x
_atom_site_fract_y
_atom_site_fract_z
Ba1 Ba 0.3333 0.6667 0.0000
Pd1 Pd 0.0000 0.2295 0.5000
Pd2 Pd 0.0000 0.7954 0.0000
Pb1 Pb 0.0000 0.6021 0.5000
# volume = 24.061 Å³/atom
# crystal system = hexagonal
# energy relative to the elements = -0.32 eV per atom
# VASP energy = -4.52 eV per atom

=====

Copy entry 2 word for word.
# BaPd5Pb2 PBE-GGA relaxed
data_BaPd5Pb2
_chemical_formula_sum 'Ba2 Pd10 Pb4'
_cell_length_a 4.2510
_cell_length_b 7.2984
_cell_length_c 11.4855
_cell_angle_alpha 90.00
_cell_angle_beta 90.00
_cell_angle_gamma 90.00
_space_group_name_H-M_alt 'I m m m'
_space_group_IT_number 71
_space_group_name_Hall '-I 2 2'
loop_
_atom_site_label
_atom_site_type_symbol
_atom_site_fract_x
_atom_site_fract_y
_atom_site_fract_z
Ba1 Ba 0.0000 0.0000 0.0000
Pd1 Pd 0.0000 0.1899 0.3764
Pd2 Pd 0.0000 0.5000 0.0000
Pb1 Pb 0.0000 0.5000 0.2408
# volume = 22.272 Å³/atom
# crystal system = orthorhombic
# energy relative to the elements = -0.33 eV per atom
# VASP energy = -4.74 eV per atom

=====

- Among the records above, which one has the highest energy relative to the elements?
  Ba2Pd6Pb3

=====

- The lowest volume belongs to which entry?
  BaPd5Pb2